Entry 1:
Cr2NiOs | GGA-PBEsol | optimized geometry

Cell lengths 2.6067, 4.3461, 4.4096 Å; angles 108.89, 90.00, 90.00 degrees
Positions (direct):
Cr: 0.0000 0.0000 0.0000
Cr: 0.5000 0.5000 0.0000
Ni: 0.5000 0.0000 0.5000
Os: 0.0000 0.5000 0.5000

Computed properties:
Crystal system = monoclinic
DOS(E_F) = 1.11 states/eV per atom
Energy of formation from the pure elements = 0.57 eV/f.u.

=====

Entry 2:
TaSi4 | GGA-PBEsol | optimized geometry

Cell lengths 3.5623, 4.7789, 4.7789 Å; angles 82.01, 68.12, 68.12 degrees
Positions (direct):
Si: 0.6161 0.2000 0.5679
Si: 0.8160 0.5679 0.8000
Si: 0.3839 0.8000 0.4321
Si: 0.1840 0.4321 0.2000
Ta: 0.0000 0.0000 0.0000

Computed properties:
ΔE_f (raw) = -0.09 eV/atom
Crystal system = tetragonal
DOS(E_F) = 0.51 states/eV per atom

=====

Entry 3:
RbNaZn2In | GGA-PBEsol | optimized geometry

Cell lengths 5.2374, 5.2374, 5.8172 Å; angles 90.00, 90.00, 90.00 degrees
Positions (direct):
Na: 0.0000 0.0000 0.5000
Zn: 0.0000 0.5000 0.0000
Zn: 0.5000 0.0000 0.0000
Rb: 0.5000 0.5000 0.5000
In: 0.0000 0.0000 0.0000

Computed properties:
Crystal system = tetragonal
DOS(E_F) = 0.34 states/eV per atom
Energy of formation from the pure elements = 1.00 eV/f.u.

=====

Entry 4:
GaHg2Pb2 | GGA-PBEsol | optimized geometry

Cell lengths 4.8237, 7.2664, 7.2664 Å; angles 90.00, 90.00, 90.00 degrees
Positions (direct):
Pb: 0.5000 0.1702 0.6702
Pb: 0.5000 0.6702 0.8298
Pb: 0.5000 0.8298 0.3298
Pb: 0.5000 0.3298 0.1702
Hg: 0.0000 0.3585 0.8585
Hg: 0.0000 0.8585 0.6415
Hg: 0.0000 0.6415 0.1415
Hg: 0.0000 0.1415 0.3585
Ga: 0.0000 0.0000 0.0000
Ga: 0.0000 0.5000 0.5000

Computed properties:
Crystal system = tetragonal
DOS(E_F) = 0.44 states/eV per atom
Energy of formation from the pure elements = 0.33 eV/f.u.

=====

Entry 5:
Cs3Mo2Br9 | GGA-PBEsol | optimized geometry

Cell lengths 7.5610, 7.5610, 18.4970 Å; angles 90.00, 90.00, 120.00 degrees
Each line ends with the local moment (μB).
Positions (direct):
Cs: 0.6667 0.3333 0.5693  0.00
Cs: 0.3333 0.6667 0.0693  0.00
Cs: 0.6667 0.3333 0.9307  0.00
Cs: 0.3333 0.6667 0.4307  0.00
Cs: 0.0000 0.0000 0.7500  0.00
Cs: 0.0000 0.0000 0.2500  0.00
Mo: 0.3333 0.6667 0.8262  1.64
Mo: 0.6667 0.3333 0.3262  1.64
Mo: 0.6667 0.3333 0.1738  1.64
Mo: 0.3333 0.6667 0.6738  1.64
Br: 0.3501 0.1751 0.4060  0.02
Br: 0.1751 0.8249 0.9060  0.02
Br: 0.1751 0.3501 0.9060  0.02
Br: 0.8249 0.6499 0.4060  0.02
Br: 0.8249 0.1751 0.4060  0.02
Br: 0.6499 0.8249 0.5940  0.02
Br: 0.1751 0.8249 0.5940  0.02
Br: 0.6499 0.8249 0.9060  0.02
Br: 0.1751 0.3501 0.5940  0.02
Br: 0.8249 0.6499 0.0940  0.02
Br: 0.3501 0.1751 0.0940  0.02
Br: 0.8249 0.1751 0.0940  0.02
Br: 0.9983 0.4991 0.2500  0.03
Br: 0.4991 0.5009 0.7500  0.03
Br: 0.4991 0.9983 0.7500  0.03
Br: 0.5009 0.0017 0.2500  0.03
Br: 0.5009 0.4991 0.2500  0.03
Br: 0.0017 0.5009 0.7500  0.03

Computed properties:
ΔE_f (raw) = -1.12 eV/atom
Crystal system = hexagonal

=====

Entry 6:
BiPSe3 | GGA-PBEsol | optimized geometry

Cell lengths 5.3832, 5.3832, 5.3832 Å; angles 90.00, 90.00, 90.00 degrees
Each line ends with the local moment (μB).
Positions (direct):
P: 0.5000 0.5000 0.5000  0.71
Bi: 0.0000 0.0000 0.0000  0.00
Se: 0.0000 0.5000 0.0000  -0.14
Se: 0.0000 0.0000 0.5000  -0.14
Se: 0.5000 0.0000 0.0000  -0.14

Computed properties:
ΔE_f (raw) = 1.11 eV/atom
Energy relative to the lowest polymorph listed for this composition = 974 meV/atom
Crystal system = cubic
DOS(E_F) = 1.19 states/eV per atom

=====

Entry 7:
ZrAs2PbS | GGA-PBEsol | optimized geometry

Cell lengths 5.1249, 5.1249, 5.5871 Å; angles 90.00, 90.00, 90.00 degrees
Positions (direct):
Pb: 0.0000 0.0000 0.0000
As: 0.0000 0.5000 0.0000
As: 0.5000 0.0000 0.0000
S: 0.5000 0.5000 0.5000
Zr: 0.0000 0.0000 0.5000

Computed properties:
ΔE_f (raw) = 1.34 eV/atom
Crystal system = tetragonal
DOS(E_F) = 1.19 states/eV per atom

=====

Entry 8:
BaAl2Si2 | GGA-PBEsol | optimized geometry

Cell lengths 4.2310, 9.9812, 10.8528 Å; angles 90.00, 90.00, 90.00 degrees
Positions (direct):
Si: 0.7500 0.6463 0.4596
Si: 0.2500 0.8537 0.9596
Si: 0.2500 0.3537 0.5404
Si: 0.7500 0.1463 0.0404
Si: 0.2500 0.9744 0.3427
Si: 0.7500 0.5256 0.8427
Si: 0.7500 0.0256 0.6573
Si: 0.2500 0.4744 0.1573
Al: 0.7500 0.4569 0.6187
Al: 0.2500 0.0431 0.1187
Al: 0.2500 0.5431 0.3813
Al: 0.7500 0.9569 0.8813
Al: 0.7500 0.9012 0.4536
Al: 0.2500 0.5988 0.9536
Al: 0.2500 0.0988 0.5464
Al: 0.7500 0.4012 0.0464
Ba: 0.7500 0.2532 0.3246
Ba: 0.2500 0.2468 0.8246
Ba: 0.2500 0.7468 0.6754
Ba: 0.7500 0.7532 0.1754

Computed properties:
ΔE_f (raw) = -0.31 eV/atom
Crystal system = orthorhombic
DOS(E_F) = 0.12 states/eV per atom

=====

Entry 9:
MgCdHg | GGA-PBEsol | optimized geometry

Cell lengths 4.6580, 4.6580, 4.6580 Å; angles 60.00, 60.00, 60.00 degrees
Positions (direct):
Mg: 0.0000 0.0000 0.0000
Hg: 0.2500 0.2500 0.2500
Cd: 0.5000 0.5000 0.5000

Computed properties:
Energy relative to the lowest polymorph listed for this composition = 53 meV/atom
Crystal system = cubic
DOS(E_F) = 0.43 states/eV per atom
Energy of formation from the pure elements = -0.34 eV/f.u.

=====

Entry 10:
TiB3Ir | GGA-PBEsol | optimized geometry

Cell lengths 3.8627, 3.8627, 3.8627 Å; angles 90.00, 90.00, 90.00 degrees
Positions (direct):
B: 0.0000 0.5000 0.0000
B: 0.0000 0.0000 0.5000
B: 0.5000 0.0000 0.0000
Ir: 0.5000 0.5000 0.5000
Ti: 0.0000 0.0000 0.0000

Computed properties:
Crystal system = cubic
DOS(E_F) = 0.44 states/eV per atom
Energy of formation from the pure elements = 8.79 eV/f.u.

=====

Entry 11:
Mg2PPb | GGA-PBEsol | optimized geometry

Cell lengths 3.8685, 3.8685, 7.4641 Å; angles 74.98, 74.98, 60.00 degrees
Positions (direct):
Pb: 0.0000 0.0000 0.0000
P: 0.5000 0.5000 0.5000
Mg: 0.2236 0.2236 0.3292
Mg: 0.7764 0.7764 0.6708

Computed properties:
Crystal system = trigonal
DOS(E_F) = 0.39 states/eV per atom
Energy of formation from the pure elements = -1.06 eV/f.u.

=====

Entry 12:
La3Au2 | GGA-PBEsol | optimized geometry

Cell lengths 3.7660, 3.7660, 9.8514 Å; angles 101.02, 101.02, 90.00 degrees
Positions (direct):
Au: 0.0999 0.0999 0.1999
Au: 0.9001 0.9001 0.8001
La: 0.5000 0.5000 0.0000
La: 0.3130 0.3130 0.6260
La: 0.6870 0.6870 0.3740

Computed properties:
Crystal system = tetragonal
DOS(E_F) = 0.93 states/eV per atom
Energy of formation from the pure elements = -2.97 eV/f.u.